(1)
! GGA-PBE Ca2ZnSiPd6, relaxed; values from VASP
! Crystal system: monoclinic
! Space-group type: C2/m (12)
! Formation energy without anion corrections: -565 kJ/mol of formula units
&SYSTEM
  ibrav = 0, nat = 10, ntyp = 4
/
ATOMIC_SPECIES
Pd 106.42 Pd.upf
Zn 65.41 Zn.upf
Ca 40.08 Ca.upf
Si 28.09 Si.upf
CELL_PARAMETERS angstrom
6.174 0.693 0.943
0.827 6.368 1.173
4.225 4.286 6.034
ATOMIC_POSITIONS crystal
Pd 0.750 0.251 0.165
Zn 0.000 0.000 0.000
Ca 0.740 0.260 0.494
Pd 0.250 0.749 0.835
Pd 0.197 0.305 0.483
Ca 0.260 0.740 0.506
Pd 0.695 0.803 0.985
Pd 0.803 0.695 0.517
Si 0.500 0.500 0.000
Pd 0.305 0.197 0.015

(2)
! GGA-PBE CaZn2SiPd4, relaxed; values from VASP
! Crystal system: trigonal
! Space-group type: R-3m (166)
! Formation energy without anion corrections: -437 kJ/mol of formula units
&SYSTEM
  ibrav = 0, nat = 8, ntyp = 4
/
ATOMIC_SPECIES
Ca 40.08 Ca.upf
Si 28.09 Si.upf
Pd 106.42 Pd.upf
Zn 65.41 Zn.upf
CELL_PARAMETERS angstrom
-0.873 -3.296 -2.850
2.467 -3.696 0.054
-4.228 -5.433 4.115
ATOMIC_POSITIONS crystal
Ca 0.000 0.000 0.000
Si 0.500 0.500 0.500
Pd 0.865 0.865 0.404
Pd 0.397 0.397 0.809
Zn 0.253 0.253 0.242
Pd 0.603 0.603 0.191
Pd 0.135 0.135 0.596
Zn 0.747 0.747 0.758

(3)
! GGA-PBE CaZn2SiPd2, relaxed; values from VASP
! Crystal system: tetragonal
! Space-group type: P4/mmm (123)
! Formation energy without anion corrections: -224 kJ/mol of formula units
&SYSTEM
  ibrav = 0, nat = 6, ntyp = 4
/
ATOMIC_SPECIES
Pd 106.42 Pd.upf
Si 28.09 Si.upf
Zn 65.41 Zn.upf
Ca 40.08 Ca.upf
CELL_PARAMETERS angstrom
-3.451 -2.859 -0.979
2.894 -3.554 0.176
-1.075 -0.600 5.540
ATOMIC_POSITIONS crystal
Pd 0.500 0.000 0.000
Pd 0.000 0.500 0.000
Si 0.000 0.000 0.000
Zn 0.500 0.500 0.730
Zn 0.500 0.500 0.270
Ca 0.000 0.000 0.500